A plane-wave DFT calculation with PBE-GGA was carried out for a geometry-optimized AcCeSnI structure.

Structure (POSCAR):
```
AcCeSnI
1.0
8.047 0.000 0.000
0.000 8.047 0.000
0.000 0.000 8.047
Ac Ce Sn I
4 4 4 4
Cartesian
0.000 0.000 0.000
0.000 4.023 4.023
4.023 0.000 4.023
4.023 4.023 0.000
0.000 0.000 4.023
0.000 4.023 0.000
4.023 0.000 0.000
4.023 4.023 4.023
2.012 2.012 6.035
2.012 6.035 2.012
6.035 2.012 2.012
6.035 6.035 6.035
2.012 2.012 2.012
2.012 6.035 6.035
6.035 2.012 6.035
6.035 6.035 2.012
```

Results
DFT total energy = -4.610 eV/atom
D(E_F) = 32.8 states/eV per cell
space group = F-43m